[1]
8
Lattice="4.3663 0.0000 0.0000 0.0000 4.3663 0.0000 0.0000 0.0000 6.2175" Properties=species:S:1:pos:R:3 comment="Li2Hf2Ga2NiPd | OQMD via LeMat-Bulk | PBE-GGA | optimized geometry" energy_ev_per_atom=-5.602 pbc="T T T"
Li 0.0000 0.0000 0.0000
Li 2.1831 2.1831 3.1088
Hf 0.0000 2.1831 1.4829
Hf 2.1831 0.0000 4.7346
Ga 0.0000 2.1831 4.7098
Ga 2.1831 0.0000 1.5077
Ni 2.1831 2.1831 0.0000
Pd 0.0000 0.0000 3.1088

=====

[2]
3
Lattice="0.0000 3.2907 3.2907 3.2907 0.0000 3.2907 3.2907 3.2907 0.0000" Properties=species:S:1:pos:R:3 comment="ErLuNi | OQMD via LeMat-Bulk | PBE-GGA | optimized geometry" ef_mev_per_atom=-209 pbc="T T T"
Er 0.0000 0.0000 0.0000
Lu 3.2907 3.2907 3.2907
Ni 1.6454 1.6454 1.6454

=====

[3]
8
Lattice="3.5539 0.0000 0.0000 -1.7769 3.0777 0.0000 0.0000 0.0000 12.7643" Properties=species:S:1:pos:R:3 comment="GdZrCS | OQMD via LeMat-Bulk | PBE-GGA | optimized geometry" energy_ev_per_atom=-7.892 pbc="T T T"
Gd 0.0000 2.0518 0.0000
Gd 1.7769 1.0259 6.3822
Zr 0.0000 2.0518 9.0145
Zr 1.7769 1.0259 2.6323
C 0.0000 0.0000 1.4758
C 0.0000 0.0000 7.8580
S 0.0000 2.0518 4.3932
S 1.7769 1.0259 10.7754

=====

[4]
10
Lattice="4.2972 2.4810 4.0867 -4.2972 2.4810 4.0867 0.0000 -4.9620 4.0867" Properties=species:S:1:pos:R:3 comment="UPa3I | OQMD via LeMat-Bulk | PBE-GGA | optimized geometry" energy_ev_per_atom=-7.745 pbc="T T T"
U 0.0000 0.0000 3.0651
U 0.0000 0.0000 9.1952
Pa -2.9432 -0.1357 5.1084
Pa -1.3540 -2.6168 7.1518
Pa 1.5892 -2.4810 5.1084
Pa -1.5892 2.4810 7.1518
Pa 1.3540 2.6168 5.1084
Pa 2.9432 0.1358 7.1518
I 0.0000 0.0000 0.0000
I 0.0000 0.0000 6.1301

=====

[5]
8
Lattice="3.3106 0.0000 0.0000 0.0000 7.4452 0.0000 0.0000 0.0000 5.8472" Properties=species:S:1:pos:R:3 comment="NbGaAsO | OQMD via LeMat-Bulk | PBE-GGA | optimized geometry" energy_ev_per_atom=-6.512 pbc="T T T"
Nb 0.0000 0.0497 0.0000
Nb 0.0000 7.3955 2.9236
Ga 1.6553 2.8584 1.9399
Ga 1.6553 4.5868 4.8635
As 1.6553 1.5296 4.3788
As 1.6553 5.9156 1.4552
O 0.0000 1.5318 1.5026
O 0.0000 5.9134 4.4262

=====

[6]
12
Lattice="8.7597 -2.0521 0.0000 8.7597 2.0521 0.0000 -2.1456 0.0000 8.6931" Properties=species:S:1:pos:R:3 comment="ErZnInSe3 | OQMD via LeMat-Bulk | PBE-GGA | optimized geometry" energy_ev_per_atom=-4.109 pbc="T T T"
Er 2.8412 0.0000 0.7579
Er 12.5325 0.0000 7.9352
Zn 6.7132 0.0000 6.7866
Zn 8.6605 0.0000 1.9066
In 1.1800 0.0000 4.9735
In 14.1938 0.0000 3.7197
Se 0.0000 0.0000 0.0000
Se 4.3067 0.0000 6.0564
Se 5.6167 0.0000 1.1779
Se 7.6869 0.0000 4.3466
Se 9.7571 0.0000 7.5153
Se 11.0670 0.0000 2.6367

=====

[7]
3
Lattice="0.0000 3.4390 3.4390 3.4390 0.0000 3.4390 3.4390 3.4390 0.0000" Properties=species:S:1:pos:R:3 comment="PrAgPd | OQMD via LeMat-Bulk | PBE-GGA | optimized geometry" ef_mev_per_atom=-17 pbc="T T T"
Pr 0.0000 0.0000 0.0000
Ag 5.1585 5.1585 5.1585
Pd 1.7195 1.7195 1.7195

=====

[8]
6
Lattice="-1.5901 2.6496 3.6924 1.5901 -2.6496 3.6924 1.5901 2.6496 -3.6924" Properties=species:S:1:pos:R:3 comment="YB4Ir | OQMD via LeMat-Bulk | PBE-GGA | optimized geometry" energy_ev_per_atom=-7.150 pbc="T T T"
Y 0.0000 0.0000 0.0000
B 1.5901 -0.9020 1.8041
B 1.5901 0.9020 1.8041
B 0.0000 1.7476 1.8883
B 0.0000 3.5515 1.8883
Ir 0.0000 0.0000 3.6924

=====

[9]
4
Lattice="0.0000 3.4351 3.4351 3.4351 0.0000 3.4351 3.4351 3.4351 0.0000" Properties=species:S:1:pos:R:3 comment="NbTl2Fe | OQMD via LeMat-Bulk | PBE-GGA | optimized geometry" energy_ev_per_atom=-4.988 pbc="T T T"
Nb 0.0000 0.0000 0.0000
Tl 3.4351 3.4351 3.4351
Tl 5.1526 5.1526 5.1526
Fe 1.7175 1.7175 1.7175

=====

[10]
8
Lattice="4.5567 0.0000 0.0000 0.0000 5.3989 0.0000 -1.5093 0.0000 4.3582" Properties=species:S:1:pos:R:3 comment="Cu3Ag | OQMD via LeMat-Bulk | PBE-GGA | optimized geometry" ef_mev_per_atom=88 pbc="T T T"
Cu -0.3773 0.5938 1.0896
Cu -1.1320 1.9594 3.2687
Cu -0.3773 3.4395 1.0896
Cu -1.1320 4.8051 3.2687
Cu 1.1464 0.6511 3.2687
Cu 1.9010 4.7478 1.0896
Ag 1.9010 1.9725 1.0896
Ag 1.1464 3.4264 3.2687

=====

[11]
4
Lattice="0.0000 2.9778 2.9778 2.9778 0.0000 2.9778 2.9778 2.9778 0.0000" Properties=species:S:1:pos:R:3 comment="LiAlCoW | OQMD via LeMat-Bulk | PBE-GGA | optimized geometry" energy_ev_per_atom=-6.022 pbc="T T T"
Li 0.0000 0.0000 0.0000
Al 2.9778 2.9778 2.9778
Co 4.4667 4.4667 4.4667
W 1.4889 1.4889 1.4889

=====

[12]
4
Lattice="0.0000 3.2223 3.2223 3.2223 0.0000 3.2223 3.2223 3.2223 0.0000" Properties=species:S:1:pos:R:3 comment="MgReGeAs | OQMD via LeMat-Bulk | PBE-GGA | optimized geometry" energy_ev_per_atom=-5.226 pbc="T T T"
Mg 0.0000 0.0000 0.0000
Re 1.6112 1.6112 1.6112
Ge 3.2223 3.2223 3.2223
As 4.8335 4.8335 4.8335

=====

[13]
8
Lattice="2.8531 0.0000 0.0000 -1.4266 2.4709 0.0000 0.0000 0.0000 14.8237" Properties=species:S:1:pos:R:3 comment="CdNiMo4N2 | OQMD via LeMat-Bulk | PBE-GGA | optimized geometry" energy_ev_per_atom=-8.270 pbc="T T T"
Cd 0.0000 0.0000 0.0000
Ni 0.0000 1.6472 7.4119
Mo 0.0000 0.0000 5.2844
Mo 0.0000 0.0000 9.5393
Mo 0.0000 1.6472 2.5098
Mo 0.0000 1.6472 12.3139
N 1.4266 0.8236 3.8751
N 1.4266 0.8236 10.9486

=====

[14]
3
Lattice="0.0000 3.1211 3.1211 3.1211 0.0000 3.1211 3.1211 3.1211 0.0000" Properties=species:S:1:pos:R:3 comment="TbTaFe | OQMD via LeMat-Bulk | PBE-GGA | optimized geometry" ef_mev_per_atom=437 pbc="T T T"
Tb 0.0000 0.0000 0.0000
Ta 3.1211 3.1211 3.1211
Fe 4.6817 4.6817 4.6817

=====

[15]
10
Lattice="3.3661 -5.4403 0.0000 3.3661 5.4403 0.0000 0.0000 0.0000 3.1719" Properties=species:S:1:pos:R:3 comment="ZnPd3N6 | OQMD via LeMat-Bulk | PBE-GGA | optimized geometry" energy_ev_per_atom=-5.900 pbc="T T T"
Zn 0.0000 0.0000 0.0000
Pd 1.6831 2.7202 1.5860
Pd 1.6831 -2.7202 1.5860
Pd 3.3661 0.0000 0.0000
N 3.3661 4.1429 1.5860
N 2.7246 1.9250 0.0000
N 4.0076 1.9250 0.0000
N 2.7246 -1.9250 0.0000
N 4.0076 -1.9250 0.0000
N 3.3661 -4.1429 1.5860

=====

[16]
4
Lattice="0.0000 3.1902 3.1902 3.1902 0.0000 3.1902 3.1902 3.1902 0.0000" Properties=species:S:1:pos:R:3 comment="HfBeTlCu | OQMD via LeMat-Bulk | PBE-GGA | optimized geometry" energy_ev_per_atom=-4.663 pbc="T T T"
Hf 0.0000 0.0000 0.0000
Be 1.5951 1.5951 1.5951
Tl 3.1902 3.1902 3.1902
Cu 4.7853 4.7853 4.7853

=====

[17]
8
Lattice="3.9794 -3.9251 0.0000 3.9794 3.9251 0.0000 -3.9421 0.0000 6.1587" Properties=species:S:1:pos:R:3 comment="CdAg2PtSeS3 | OQMD via LeMat-Bulk | PBE-GGA | optimized geometry" energy_ev_per_atom=-3.650 pbc="T T T"
Cd 0.0000 0.0000 0.0000
Ag 2.0043 2.0651 3.1603
Ag 2.0043 -2.0651 3.1603
Pt 0.1639 0.0000 6.1232
Se 2.2401 0.0000 1.5355
S 0.0303 1.7861 4.6659
S 0.0303 -1.7861 4.6659
S 5.8170 0.0000 1.4872

=====

[18]
6
Lattice="3.9606 0.0000 0.0000 0.0000 3.9606 0.0000 0.0000 0.0000 6.6905" Properties=species:S:1:pos:R:3 comment="GdErCo2Si2 | OQMD via LeMat-Bulk | PBE-GGA | optimized geometry" energy_ev_per_atom=-6.457 pbc="T T T"
Gd 0.0000 0.0000 0.0000
Er 1.9803 1.9803 2.4346
Co 0.0000 1.9803 4.5147
Co 1.9803 0.0000 4.5147
Si 0.0000 0.0000 3.2630
Si 1.9803 1.9803 5.7566

=====

[19]
10
Lattice="2.8349 1.6367 5.0433 -2.8349 1.6367 5.0433 0.0000 -3.2735 5.0433" Properties=species:S:1:pos:R:3 comment="PrScO3 | OQMD via LeMat-Bulk | PBE-GGA | optimized geometry" energy_ev_per_atom=-8.549 pbc="T T T"
Pr 0.0000 0.0000 1.9754
Pr 0.0000 0.0000 13.1543
Sc 0.0000 0.0000 5.2832
Sc 0.0000 0.0000 9.8465
O -1.8446 -0.3047 6.2317
O -0.6584 -1.7498 8.8981
O 1.1862 -1.4451 6.2317
O -1.1862 1.4451 8.8981
O 0.6584 1.7498 6.2317
O 1.8446 0.3047 8.8981

=====

[20]
9
Lattice="3.8493 0.0000 0.0000 0.0000 6.3093 3.6419 0.0000 -6.3093 3.6419" Properties=species:S:1:pos:R:3 comment="Gd2YZn3CuPd2 | OQMD via LeMat-Bulk | PBE-GGA | optimized geometry" ef_mev_per_atom=-620 pbc="T T T"
Gd 0.0000 -3.7268 3.6419
Gd 0.0000 3.7268 3.6419
Y 0.0000 0.0000 2.8184
Zn 1.9247 0.0000 0.2665
Zn 1.9247 -1.5046 4.9174
Zn 1.9247 1.5046 4.9174
Cu 0.0000 0.0000 5.7962
Pd 1.9247 -2.1049 2.1529
Pd 1.9247 2.1049 2.1529

=====

[21]
4
Lattice="0.0000 3.0981 3.0981 3.0981 0.0000 3.0981 3.0981 3.0981 0.0000" Properties=species:S:1:pos:R:3 comment="LuBOs2 | OQMD via LeMat-Bulk | PBE-GGA | optimized geometry" energy_ev_per_atom=-7.735 pbc="T T T"
Lu 0.0000 0.0000 0.0000
B 4.6471 4.6471 4.6471
Os 1.5490 1.5490 1.5490
Os 3.0981 3.0981 3.0981

=====

[22]
20
Lattice="5.8515 0.0000 0.0000 0.0000 8.4777 0.0000 0.0000 0.0000 5.8828" Properties=species:S:1:pos:R:3 comment="BaAuO3 | OQMD via LeMat-Bulk | PBE-GGA | optimized geometry" energy_ev_per_atom=-5.061 pbc="T T T"
Ba 0.1264 2.1194 0.0178
Ba 2.7994 6.3583 2.9592
Ba 3.0521 2.1194 2.9236
Ba 5.7251 6.3583 5.8650
Au 0.0000 0.0000 2.9414
Au 0.0000 4.2388 2.9414
Au 2.9258 0.0000 0.0000
Au 2.9258 4.2388 0.0000
O 0.0258 2.1194 3.2212
O 1.2930 4.4959 4.5794
O 1.2930 8.2207 4.5794
O 1.6328 0.2570 1.6380
O 1.6328 3.9818 1.6380
O 2.9000 6.3583 0.2798
O 2.9516 2.1194 5.6030
O 4.2187 4.4959 4.2448
O 4.2187 8.2207 4.2448
O 4.5586 0.2570 1.3034
O 4.5586 3.9818 1.3034
O 5.8257 6.3583 2.6616

=====

[23]
3
Lattice="0.0000 3.2536 3.2536 3.2536 0.0000 3.2536 3.2536 3.2536 0.0000" Properties=species:S:1:pos:R:3 comment="UCuGe | OQMD via LeMat-Bulk | PBE-GGA | optimized geometry" energy_ev_per_atom=-5.987 pbc="T T T"
U 0.0000 0.0000 0.0000
Cu 4.8804 4.8804 4.8804
Ge 1.6268 1.6268 1.6268

=====

[24]
12
Lattice="2.0617 -7.4928 0.0000 2.0617 7.4928 0.0000 0.0000 0.0000 11.2075" Properties=species:S:1:pos:R:3 comment="NaYCuTe3 | OQMD via LeMat-Bulk | PBE-GGA | optimized geometry" energy_ev_per_atom=-4.335 pbc="T T T"
Na 2.0617 3.8437 8.4056
Na 2.0617 -3.8437 2.8019
Y 0.0000 0.0000 0.0000
Y 0.0000 0.0000 5.6038
Cu 2.0617 0.4227 2.8019
Cu 2.0617 -0.4227 8.4056
Te 2.0617 6.2400 2.8019
Te 2.0617 2.1073 0.7943
Te 2.0617 2.1073 4.8095
Te 2.0617 -2.1073 6.3980
Te 2.0617 -2.1073 10.4132
Te 2.0617 -6.2400 8.4056

=====

[25]
8
Lattice="4.2263 0.0000 0.0000 -2.1131 3.6600 0.0000 0.0000 0.0000 7.4643" Properties=species:S:1:pos:R:3 comment="FeSiTc2 | OQMD via LeMat-Bulk | PBE-GGA | optimized geometry" energy_ev_per_atom=-8.630 pbc="T T T"
Fe 0.0000 0.0000 0.0000
Fe 0.0000 0.0000 3.7322
Si 0.0000 2.4400 1.8661
Si 2.1131 1.2200 5.5982
Tc 0.0000 2.4400 4.3908
Tc 0.0000 2.4400 6.8057
Tc 2.1131 1.2200 0.6586
Tc 2.1131 1.2200 3.0735

=====

Number 1: density 9.462 g/cm³. Number 2: density 9.341 g/cm³. Number 3: density 6.959 g/cm³. Number 4: density 13.441 g/cm³. Number 5: density 5.843 g/cm³. Number 6: density 6.210 g/cm³. Number 7: density 7.251 g/cm³. Number 8: density 8.656 g/cm³. Number 9: density 11.420 g/cm³. Number 10: density 9.246 g/cm³. Number 11: density 8.700 g/cm³. Number 12: density 8.885 g/cm³. Number 13: density 9.262 g/cm³. Number 14: density 10.806 g/cm³. Number 15: density 6.700 g/cm³. Number 16: density 11.646 g/cm³. Number 17: density 6.028 g/cm³. Number 18: density 7.888 g/cm³. Number 19: density 5.532 g/cm³. Number 20: density 8.223 g/cm³. Number 21: density 15.811 g/cm³. Number 22: density 8.701 g/cm³. Number 23: density 9.021 g/cm³. Number 24: density 5.354 g/cm³. Number 25: density 8.052 g/cm³.